# 1
Computed, not measured: BeOsCl after structural relaxation at the PBE level of DFT.

The structure in POSCAR format:
```
BeOsCl
1.0
7.895 0.040 -0.024
7.138 2.732 -0.026
0.757 -1.242 2.388
Cl Be Os
1 1 1
Direct
0.392 0.392 0.608
0.989 0.989 0.011
0.619 0.619 0.381
```

Results
Symmetry: No. 42
Formation energy from raw total energies (eV/atom): 0.352
Crystal system: orthorhombic

# 2
Computed, not measured: BeOs2Cl after structural relaxation at the PBE level of DFT.

The structure in POSCAR format:
```
BeOs2Cl
1.0
7.135 0.174 -0.002
5.339 4.736 0.002
-5.920 -3.261 2.294
Be Os Cl
1 2 1
Direct
0.473 0.473 0.000
0.630 0.130 0.500
0.038 0.038 0.000
0.360 0.860 0.500
```

Results
Symmetry: No. 44
Formation energy from raw total energies (eV/atom): 0.541
Crystal system: orthorhombic

# 3
Computed, not measured: BeOsCl2 after structural relaxation at the PBE level of DFT.

The structure in POSCAR format:
```
BeOsCl2
1.0
7.245 0.053 -0.037
6.474 3.253 -0.037
0.823 0.198 3.323
Os Be Cl
1 1 2
Direct
0.750 0.750 0.750
0.250 0.250 0.250
0.877 0.877 0.123
0.623 0.623 0.377
```

Results
Symmetry: No. 12
Formation energy from raw total energies (eV/atom): 0.112
Crystal system: monoclinic

# 4
Computed, not measured: BeOsCl2 after structural relaxation at the PBE level of DFT.

The structure in POSCAR format:
```
BeOsCl2
1.0
2.786 0.000 0.000
0.000 2.786 0.000
0.000 0.000 11.425
Cl Os Be
2 1 1
Direct
0.000 0.000 0.874
0.000 0.000 0.626
0.500 0.500 0.250
0.500 0.500 0.750
```

Results
Symmetry: No. 123
Formation energy from raw total energies (eV/atom): 0.888
Crystal system: tetragonal

# 5
Computed, not measured: Be2OsCl after structural relaxation at the PBE level of DFT.

The structure in POSCAR format:
```
Be2OsCl
1.0
-3.074 3.645 2.659
-1.421 0.310 5.262
4.096 -0.729 -3.535
Os Be Cl
1 2 1
Direct
0.750 0.250 0.500
0.250 0.750 0.500
0.000 0.000 0.000
0.500 0.500 0.000
```

Results
Symmetry: No. 119
Formation energy from raw total energies (eV/atom): 0.724
Crystal system: tetragonal

# 6
Computed, not measured: Be2OsCl after structural relaxation at the PBE level of DFT.

The structure in POSCAR format:
```
Be2OsCl
1.0
2.757 0.001 0.000
-1.311 2.426 0.000
0.000 0.000 9.336
Be Os Cl
2 1 1
Direct
0.500 0.500 0.241
0.000 0.000 0.031
0.500 0.500 0.837
0.000 0.000 0.391
```

Results
Symmetry: No. 35
Formation energy from raw total energies (eV/atom): 0.455
Crystal system: orthorhombic

| no. | DOS(E_F) (states/eV/atom) | DFT total energy (eV per atom) | total moment (μB/f.u.) |
| --- | --- | --- | --- |
| 1 | 0.305 | -5.2493 | 0.00 |
| 2 | 0.519 | -6.4671 | 0.00 |
| 3 | 0.034 | -4.5506 | 0.00 |
| 4 | 0.481 | -3.7745 | 1.67 |
| 5 | 0.632 | -4.4078 | 0.00 |
| 6 | 0.517 | -4.6774 | 0.00 |